SiMoH2 after structural relaxation. Source: Alexandria via LeMat-Bulk, functional GGA-PBEsol.

- ρ (g/cm³) = 6.1
- space group = Fm-3m
- total magnetic moment (μB/f.u.) = 0.0
- electronic total energy (eV per atom) = -5.3470

Cell: 3.638 3.638 3.638 Å, 60.00 60.00 60.00°
Fractional coordinates of all 4 atoms:
H  0.250  0.250  0.250
H  0.750  0.750  0.750
Mo  0.500  0.500  0.500
Si  0.000  0.000  0.000